Record 1
First-principles (PBE) data for a relaxed Ac6Au3N crystal, as listed in the Alexandria database.

a = 7.166 Å, b = 8.108 Å, c = 11.222 Å
α = 90.00°, β = 91.81°, γ = 90.00°
Fractional positions:
Ac1 0.688 0.160 0.934
Ac2 0.650 0.212 0.566
Ac3 0.650 0.458 0.270
Ac4 0.350 0.542 0.730
Ac5 0.350 0.788 0.434
Ac6 0.312 0.840 0.066
Ac7 0.188 0.340 0.434
Ac8 0.150 0.288 0.066
Ac9 0.150 0.042 0.770
Ac10 0.850 0.958 0.230
Ac11 0.850 0.712 0.934
Ac12 0.812 0.660 0.566
Au1 0.564 0.892 0.732
Au2 0.500 0.500 0.000
Au3 0.436 0.108 0.268
Au4 0.064 0.608 0.232
Au5 0.000 0.000 0.500
Au6 0.936 0.392 0.768
N1 0.500 0.500 0.500
N2 0.000 0.000 0.000

## Properties
* symmetry: No. 14
* DFT total energy: -4.96 eV per atom
* V: 326 Å³/f.u.

=====

Record 2
First-principles (PBE) data for a relaxed ZrGe4 crystal, as listed in the Alexandria database.

a = 5.180 Å, b = 5.180 Å, c = 5.180 Å
α = 90.00°, β = 90.00°, γ = 90.00°
Fractional positions:
Ge1 0.000 0.000 0.000
Ge2 0.500 0.000 0.500
Ge3 0.000 0.500 0.500
Ge4 0.500 0.500 0.000
Zr1 0.500 0.500 0.500

## Properties
* symmetry: No. 221
* DFT total energy: -4.76 eV per atom
* DFT formation energy: 0.65 eV/atom
* V: 139 Å³/f.u.

=====

Record 3
First-principles (PBE) data for a relaxed CdAsAu crystal, as listed in the Alexandria database.

a = 4.738 Å, b = 4.738 Å, c = 3.103 Å
α = 90.00°, β = 90.00°, γ = 120.00°
Fractional positions:
As1 0.000 0.000 0.167
Au1 0.667 0.333 0.166
Cd1 0.333 0.667 0.667

## Properties
* symmetry: No. 187
* DFT total energy: -2.86 eV per atom
* DFT formation energy: 0.09 eV/atom
* V: 60 Å³/f.u.